No. 1
Compound: FeTcTe2
Source: Alexandria
Functional: PBE
Structure: optimized geometry

The formation energy (no corrections) is 0.460 eV per atom. The distance to the lowest polymorph of the same formula is 474 meV/atom. Its calculated volume is 26.1 A^3/atom.

It has space group I-42d (No. 122), with a = 5.9927 Å, b = 5.9927 Å, c = 11.6420 Å, α = 90.00°, β = 90.00° and γ = 90.00°. Symmetry generates all atoms from Fe at (0.0000, 0.0000, 0.0000), Tc at (0.0000, 0.0000, 0.5000) and Te at (0.2451, 0.2500, 0.1250).


No. 2
Compound: LuScPd
Source: Alexandria
Functional: PBE
Structure: optimized geometry

The distance to the lowest polymorph of the same formula is 0 meV/atom. Its calculated volume is 22.2 A^3/atom.

It has space group I4mm (No. 107), with a = 3.3997 Å, b = 3.3997 Å, c = 11.5449 Å, α = 90.00°, β = 90.00° and γ = 90.00°. Symmetry generates all atoms from Lu at (0.0000, 0.0000, 0.0000), Sc at (0.0000, 0.0000, 0.2830) and Pd at (0.0000, 0.0000, 0.6503).


No. 3
Compound: YSc3Tl2
Source: Alexandria
Functional: PBE
Structure: optimized geometry

The distance to the lowest polymorph of the same formula is 0 meV/atom. Its calculated volume is 25.2 A^3/atom.

It has space group Pmc2_1 (No. 26), with a = 4.8114 Å, b = 9.4560 Å, c = 6.6344 Å, α = 90.00°, β = 90.00° and γ = 90.00°. Symmetry generates all atoms from Y at (0.0000, 0.0488, 0.0000), Sc at (0.0000, 0.3095, 0.6004), Sc at (0.5000, 0.2043, 0.2816), Sc at (0.5000, 0.4526, 0.8858), Tl at (0.0000, 0.3786, 0.1525) and Tl at (0.5000, 0.1315, 0.7269).


No. 4
Compound: CaMoS2Br
Source: Alexandria
Functional: PBE
Structure: optimized geometry

The formation energy (no corrections) is 0.769 eV per atom. Its calculated volume is 39.0 A^3/atom.

It has space group P4/mmm (No. 123), with a = 4.9714 Å, b = 4.9714 Å, c = 7.8938 Å, α = 90.00°, β = 90.00° and γ = 90.00°. Symmetry generates all atoms from Ca at (0.0000, 0.0000, 0.0000), Mo at (0.0000, 0.0000, 0.5000), S at (0.0000, 0.5000, 0.0000) and Br at (0.5000, 0.5000, 0.5000).


No. 5
Compound: CeNdCd4
Source: Alexandria
Functional: PBE
Structure: optimized geometry

The distance to the lowest polymorph of the same formula is 0 meV/atom. Its calculated volume is 25.3 A^3/atom.

It has space group P6/mmm (No. 191), with a = 5.1132 Å, b = 5.1132 Å, c = 6.6974 Å, α = 90.00°, β = 90.00° and γ = 120.00°. Symmetry generates all atoms from Ce at (0.0000, 0.0000, 0.0000), Nd at (0.0000, 0.0000, 0.5000) and Cd at (0.3333, 0.6667, 0.2460).


No. 6
Compound: HoPuSb
Source: Alexandria
Functional: PBE
Structure: optimized geometry

The formation energy (no corrections) is -0.419 eV per atom. Its calculated volume is 28.0 A^3/atom.

It has space group Cmcm (No. 63), with a = 3.9679 Å, b = 21.1236 Å, c = 4.0115 Å, α = 90.00°, β = 90.00° and γ = 90.00°. Symmetry generates all atoms from Ho at (0.0000, 0.2026, 0.2500), Pu at (0.0000, 0.0568, 0.2500) and Sb at (0.0000, 0.3647, 0.2500).


No. 7
Compound: VCuSb2I
Source: Alexandria
Functional: PBE
Structure: optimized geometry

The formation energy (no corrections) is 1.056 eV per atom. The distance to the lowest polymorph of the same formula is 381 meV/atom. Its calculated volume is 27.3 A^3/atom.

It has space group P4/mmm (No. 123), with a = 4.9536 Å, b = 4.9536 Å, c = 5.5617 Å, α = 90.00°, β = 90.00° and γ = 90.00°. Symmetry generates all atoms from V at (0.0000, 0.0000, 0.0000), Cu at (0.5000, 0.5000, 0.5000), Sb at (0.0000, 0.5000, 0.5000) and I at (0.5000, 0.5000, 0.0000).


No. 8
Compound: Pb3Cl2O2
Source: Alexandria
Functional: PBE
Structure: optimized geometry

The formation energy (no corrections) is -1.200 eV per atom. The distance to the lowest polymorph of the same formula is 0 meV/atom. Its calculated volume is 25.6 A^3/atom.

It has space group Pnma (No. 62), with a = 12.0274 Å, b = 5.9530 Å, c = 10.0005 Å, α = 90.00°, β = 90.00° and γ = 90.00°. Symmetry generates all atoms from Pb at (0.0542, 0.2500, 0.2085), Pb at (0.0844, 0.2500, 0.5724), Pb at (0.2113, 0.7500, 0.3538), Cl at (0.1254, 0.7500, 0.0888), Cl at (0.1982, 0.7500, 0.6871) and O at (0.0749, 0.0045, 0.3847).